[1]
Pr2Nd3HoCoTe2 | GGA-PBE | optimized geometry

POSCAR file:
```
Pr2Nd3HoCoTe2
1.0
-0.346 0.181 3.975
5.387 -6.712 0.776
3.189 8.031 -0.089
Pr Nd Te Ho Co
2 3 2 1 1
Direct
0.000 0.001 0.763
0.000 0.763 0.001
0.500 0.000 0.409
0.500 0.586 0.586
0.500 0.409 0.000
0.000 0.332 0.660
0.000 0.660 0.332
0.000 0.234 0.234
0.500 0.015 0.015
```

---

[2]
LaPr3Ga4 | GGA-PBE | optimized geometry

POSCAR file:
```
LaPr3Ga4
1.0
5.946 0.000 0.000
0.000 5.798 0.000
-1.096 0.000 5.856
Pr Ga La
3 4 1
Direct
0.020 0.000 0.660
0.982 0.500 0.343
0.342 0.500 0.979
0.192 0.000 0.195
0.808 0.500 0.807
0.499 0.750 0.500
0.499 0.250 0.500
0.658 0.000 0.017
```

---

[3]
AgBiTeO | GGA-PBE | optimized geometry

POSCAR file:
```
AgBiTeO
1.0
4.119 0.000 0.000
0.000 4.119 0.000
0.000 0.000 10.024
Bi Ag O Te
2 2 2 2
Direct
0.750 0.750 0.880
0.250 0.250 0.120
0.750 0.250 0.500
0.250 0.750 0.500
0.750 0.250 0.000
0.250 0.750 0.000
0.250 0.250 0.705
0.750 0.750 0.295
```

Output
excess energy over the best structure of this formula in the dataset: 0 meV per atom

---

[4]
RbHoFeSe3 | GGA-PBE | optimized geometry

POSCAR file:
```
RbHoFeSe3
1.0
-8.175 -2.576 -2.852
1.244 -3.895 -0.047
0.547 0.049 10.390
Se Fe Ho Rb
6 2 2 2
Direct
0.405 0.750 0.673
0.595 0.250 0.327
0.717 0.750 0.051
0.044 0.250 0.355
0.956 0.750 0.645
0.283 0.250 0.949
0.572 0.250 0.088
0.428 0.750 0.912
0.174 0.250 0.644
0.826 0.750 0.356
0.261 0.750 0.229
0.739 0.250 0.771
```

---

[5]
BeNbGa | GGA-PBE | optimized geometry

POSCAR file:
```
BeNbGa
1.0
1.040 -3.715 -1.394
-0.014 -3.221 2.539
-2.859 -2.915 -0.400
Nb Be Ga
1 1 1
Direct
0.750 0.750 0.750
0.250 0.250 0.250
0.000 0.000 0.000
```

Output
excess energy over the best structure of this formula in the dataset: 0 meV per atom

---

[6]
DyEr3Mg2 | GGA-PBE | optimized geometry

POSCAR file:
```
DyEr3Mg2
1.0
-2.711 1.518 -4.449
-0.184 8.239 2.924
2.907 8.184 1.021
Mg Dy Er
2 1 3
Direct
0.000 0.435 0.435
0.500 0.565 0.565
0.000 0.094 0.094
0.000 0.774 0.774
0.500 0.227 0.227
0.500 0.906 0.906
```

---

[7]
BaThTa | GGA-PBE | optimized geometry

POSCAR file:
```
BaThTa
1.0
-4.613 -2.185 0.802
-3.520 2.397 2.927
-4.228 2.020 -2.177
Ta Th Ba
1 1 1
Direct
0.250 0.250 0.250
0.750 0.750 0.750
0.000 0.000 0.000
```

---

[8]
BaPd2PbO6 | GGA-PBE | optimized geometry

POSCAR file:
```
BaPd2PbO6
1.0
8.008 0.000 0.000
0.000 11.448 0.000
-0.097 0.000 5.715
O Pb Ba Pd
24 4 4 8
Direct
0.710 0.975 0.964
0.771 0.471 0.946
0.229 0.529 0.054
0.701 0.775 0.577
0.299 0.275 0.923
0.290 0.475 0.536
0.501 0.411 0.177
0.710 0.525 0.464
0.499 0.589 0.823
0.299 0.225 0.423
0.499 0.911 0.323
0.001 0.352 0.281
0.999 0.852 0.219
0.771 0.029 0.446
0.304 0.776 0.963
0.229 0.971 0.554
0.701 0.725 0.077
0.696 0.224 0.037
0.001 0.148 0.781
0.501 0.089 0.677
0.304 0.724 0.463
0.696 0.276 0.537
0.999 0.648 0.719
0.290 0.025 0.036
0.485 0.884 0.741
0.515 0.116 0.259
0.485 0.616 0.241
0.515 0.384 0.759
0.984 0.876 0.759
0.016 0.376 0.741
0.016 0.124 0.241
0.984 0.624 0.259
0.743 0.122 0.750
0.259 0.127 0.733
0.257 0.622 0.750
0.259 0.373 0.233
0.257 0.878 0.250
0.743 0.378 0.250
0.741 0.627 0.767
0.741 0.873 0.267
```

Output
excess energy over the best structure of this formula in the dataset: 0 meV per atom

---

[9]
Rb2Na3ReO6 | GGA-PBE | optimized geometry

POSCAR file:
```
Rb2Na3ReO6
1.0
3.149 -5.738 0.000
3.149 5.738 0.000
-2.187 0.000 5.166
O Na Rb Re
6 3 2 1
Direct
0.074 0.310 0.229
0.690 0.926 0.771
0.191 0.191 0.807
0.310 0.074 0.229
0.926 0.690 0.771
0.809 0.809 0.193
0.135 0.865 0.500
0.865 0.135 0.500
0.500 0.500 0.500
0.674 0.326 0.000
0.326 0.674 0.000
0.000 0.000 0.000
```

Output
excess energy over the best structure of this formula in the dataset: 14 meV per atom

---

[10]
BaBeSiPd | GGA-PBE | optimized geometry

POSCAR file:
```
BaBeSiPd
1.0
0.000 3.435 3.435
3.435 0.000 3.435
3.435 3.435 0.000
Ba Si Be Pd
1 1 1 1
Direct
0.500 0.500 0.500
0.000 0.000 0.000
0.750 0.750 0.750
0.250 0.250 0.250
```

Output
excess energy over the best structure of this formula in the dataset: 0 meV per atom

---

[11]
NbCoNiPb | GGA-PBE | optimized geometry

POSCAR file:
```
NbCoNiPb
1.0
0.000 3.158 3.158
3.158 0.000 3.158
3.158 3.158 0.000
Ni Co Nb Pb
1 1 1 1
Direct
0.500 0.500 0.500
0.750 0.750 0.750
0.250 0.250 0.250
0.000 0.000 0.000
```

Output
excess energy over the best structure of this formula in the dataset: 239 meV per atom

---

[12]
Ir2Pb2O5 | GGA-PBE | optimized geometry

POSCAR file:
```
Ir2Pb2O5
1.0
-1.178 -8.299 5.775
3.138 -1.134 -0.990
1.450 1.666 2.690
Pb O Ir
2 5 2
Direct
0.270 0.500 0.500
0.730 0.500 0.500
0.500 0.500 0.500
0.114 0.500 0.000
0.114 0.000 0.500
0.886 0.500 0.000
0.886 0.000 0.500
0.000 0.000 0.000
0.500 0.000 0.000
```

Output
excess energy over the best structure of this formula in the dataset: 399 meV per atom

---

[13]
ScNb4Tc5 | GGA-PBE | optimized geometry

POSCAR file:
```
ScNb4Tc5
1.0
-2.868 1.280 0.584
-0.932 -0.734 -2.966
-5.300 -14.242 5.188
Tc Nb Sc
5 4 1
Direct
0.500 0.500 0.500
0.500 0.500 0.892
0.500 0.500 0.108
0.500 0.500 0.303
0.500 0.500 0.697
0.000 0.000 0.801
0.000 0.000 0.600
0.000 0.000 0.199
0.000 0.000 0.400
0.000 0.000 0.000
```

Output
E_form: -31.1 kJ per mole of atoms

---

[14]
LuCoSbPt | GGA-PBE | optimized geometry

POSCAR file:
```
LuCoSbPt
1.0
2.501 1.489 3.681
-1.292 -1.192 4.351
2.586 -3.043 2.465
Co Lu Sb Pt
1 1 1 1
Direct
0.750 0.750 0.750
0.250 0.250 0.250
0.000 0.000 0.000
0.500 0.500 0.500
```

Output
excess energy over the best structure of this formula in the dataset: 188 meV per atom

---

[15]
LaPrAl4Cu2 | GGA-PBE | optimized geometry

POSCAR file:
```
LaPrAl4Cu2
1.0
7.027 0.000 0.000
0.000 2.057 5.615
0.000 -2.057 5.615
Pr Cu La Al
1 2 1 4
Direct
0.500 0.447 0.447
0.500 0.722 0.722
0.000 0.277 0.277
0.000 0.552 0.552
0.691 0.168 0.168
0.193 0.833 0.833
0.807 0.833 0.833
0.309 0.168 0.168
```

---

[16]
Nd4CI2Cl3 | GGA-PBE | optimized geometry

POSCAR file:
```
Nd4CI2Cl3
1.0
-9.217 0.272 -1.360
-8.956 -0.772 2.465
1.459 7.849 2.044
Nd Cl I C
4 3 2 1
Direct
0.006 0.006 0.790
0.994 0.994 0.210
0.641 0.641 0.069
0.359 0.359 0.931
0.829 0.829 0.160
0.171 0.171 0.840
0.500 0.500 0.500
0.167 0.167 0.366
0.833 0.833 0.634
0.500 0.500 0.000
```

---

[17]
Ba2MgZrS6 | GGA-PBE | optimized geometry

POSCAR file:
```
Ba2MgZrS6
1.0
6.126 -3.537 0.000
6.126 3.537 0.000
-4.084 0.000 5.776
S Zr Mg Ba
6 1 1 2
Direct
0.252 0.252 0.252
0.748 0.748 0.748
0.748 0.252 0.252
0.748 0.252 0.748
0.252 0.748 0.748
0.252 0.748 0.252
0.000 0.000 0.000
0.500 0.500 0.500
0.250 0.250 0.750
0.750 0.750 0.250
```

---

[18]
ZnAs2Pb | GGA-PBE | optimized geometry

POSCAR file:
```
ZnAs2Pb
1.0
0.163 -1.212 4.844
-2.077 3.014 3.400
-4.170 -1.403 2.366
As Pb Zn
2 1 1
Direct
0.000 0.000 0.000
0.750 0.750 0.750
0.500 0.500 0.500
0.250 0.250 0.250
```

---

[19]
CsNbB4 | GGA-PBE | optimized geometry

POSCAR file:
```
CsNbB4
1.0
-1.546 2.791 4.271
1.546 -2.791 4.271
1.546 2.791 -4.271
B Cs Nb
4 1 1
Direct
0.898 0.238 0.661
0.423 0.762 0.661
0.577 0.238 0.339
0.102 0.762 0.339
0.000 0.000 0.000
0.500 0.500 0.000
```

Output
excess energy over the best structure of this formula in the dataset: 973 meV per atom

---

[20]
NpGaPt | GGA-PBE | optimized geometry

POSCAR file:
```
NpGaPt
1.0
-1.631 1.856 3.790
-0.539 4.483 0.273
-4.159 1.780 0.039
Np Ga Pt
1 1 1
Direct
0.750 0.750 0.750
0.250 0.250 0.250
0.000 0.000 0.000
```

---

The records above yield total energy values of -5.32, -4.46, -4.32, -5.26, -5.21, -3.62, -5.17, -5.54, -5.60, -3.75, -6.22, -5.68, -10.17, -5.75, -4.42, -5.13, -5.31, -3.26, -5.36, -7.66 eV per atom, respectively.